Entry from Alexandria via LeMat-Bulk: a geometry-optimized ZnFe2O structure (PBE+U).

The space group is Fm-3m (No. 225) and the conventional cell measures 5.9122, 5.9122 and 5.9122 Å, with angles of 90.00, 90.00 and 90.00 degrees. The asymmetric unit holds Zn at (0.0000, 0.0000, 0.0000), Fe at (0.2500, 0.2500, 0.2500) and O at (0.0000, 0.0000, 0.5000).

As for the distance to the lowest polymorph of the same formula: 661 meV/atom. Its calculated density is 6.2 g cm⁻³. The value obtained for the density of states at the Fermi level is 0.65 states/eV per atom.

---

Entry from Alexandria via LeMat-Bulk: a geometry-optimized ZrZnFe2O6 structure (PBE+U).

The space group is P1 (No. 1) and the conventional cell measures 5.1951, 5.2572 and 5.4874 Å, with angles of 62.17, 89.43 and 61.35 degrees. The asymmetric unit holds Zr at (0.0000, 0.0000, 0.0000), Zn at (0.5111, 0.9832, 0.5090), Fe at (0.2861, 0.4334, 0.8558), Fe at (0.7835, 0.4291, 0.3656), O at (0.0539, 0.5359, 0.1446), O at (0.1864, 0.9050, 0.6690), O at (0.3971, 0.9334, 0.1500), O at (0.5808, 0.2508, 0.6514), O at (0.6754, 0.2573, 0.1560) and O at (0.9125, 0.5117, 0.6516).

The calculation puts the total DFT energy (no corrections) at -6.94 eV per atom. Its calculated density is 5.4 g cm⁻³.

---

Entry from Alexandria via LeMat-Bulk: a geometry-optimized ZrZnFeO4 structure (PBE+U).

The space group is Imma (No. 74) and the conventional cell measures 6.0876, 6.4196 and 8.9288 Å, with angles of 90.00, 90.00 and 90.00 degrees. The asymmetric unit holds Zr at (0.0000, 0.0000, 0.0000), Zn at (0.0000, 0.2500, 0.3612), Fe at (0.2500, 0.2500, 0.7500), O at (0.0000, 0.0124, 0.7632) and O at (0.2326, 0.2500, 0.0010).

The calculation puts the total DFT energy (no corrections) at -7.22 eV per atom. Its calculated density is 5.3 g cm⁻³. The value obtained for the density of states at the Fermi level is 0.00 states/eV per atom.

---

Entry from Alexandria via LeMat-Bulk: a geometry-optimized ZrFe3O structure (PBE+U).

The space group is Pm-3m (No. 221) and the conventional cell measures 4.9638, 4.9638 and 4.9638 Å, with angles of 90.00, 90.00 and 90.00 degrees. The asymmetric unit holds Zr at (0.0000, 0.0000, 0.0000), Fe at (0.0000, 0.0000, 0.5000) and O at (0.5000, 0.5000, 0.5000).

As for the distance to the lowest polymorph of the same formula: 2050 meV/atom. Its calculated density is 3.7 g cm⁻³. The value obtained for the density of states at the Fermi level is 0.88 states/eV per atom.

---

Entry from Alexandria via LeMat-Bulk: a geometry-optimized ZrFe2O structure (PBE+U).

The space group is I-42d (No. 122) and the conventional cell measures 5.9961, 5.9961 and 8.1576 Å, with angles of 90.00, 90.00 and 90.00 degrees. The asymmetric unit holds Zr at (0.0000, 0.0000, 0.0000), Fe at (0.1214, 0.2500, 0.6250) and O at (0.0000, 0.0000, 0.5000).

The calculation puts the total DFT energy (no corrections) at -6.20 eV per atom. Its calculated density is 5.0 g cm⁻³. The value obtained for the density of states at the Fermi level is 0.69 states/eV per atom.

---

Entry from Alexandria via LeMat-Bulk: a geometry-optimized ZrFeO2 structure (PBE+U).

The space group is Fm-3m (No. 225) and the conventional cell measures 5.5540, 5.5540 and 5.5540 Å, with angles of 90.00, 90.00 and 90.00 degrees. The asymmetric unit holds Zr at (0.0000, 0.0000, 0.0000), Fe at (0.0000, 0.0000, 0.5000) and O at (0.2500, 0.2500, 0.2500).

As for the distance to the lowest polymorph of the same formula: 328 meV/atom. Its calculated density is 6.9 g cm⁻³. The value obtained for the density of states at the Fermi level is 0.29 states/eV per atom.

---

Copy entry 2 word for word.
Entry from Alexandria via LeMat-Bulk: a geometry-optimized ZrZnFe2O6 structure (PBE+U).

The space group is P1 (No. 1) and the conventional cell measures 5.1951, 5.2572 and 5.4874 Å, with angles of 62.17, 89.43 and 61.35 degrees. The asymmetric unit holds Zr at (0.0000, 0.0000, 0.0000), Zn at (0.5111, 0.9832, 0.5090), Fe at (0.2861, 0.4334, 0.8558), Fe at (0.7835, 0.4291, 0.3656), O at (0.0539, 0.5359, 0.1446), O at (0.1864, 0.9050, 0.6690), O at (0.3971, 0.9334, 0.1500), O at (0.5808, 0.2508, 0.6514), O at (0.6754, 0.2573, 0.1560) and O at (0.9125, 0.5117, 0.6516).

The calculation puts the total DFT energy (no corrections) at -6.94 eV per atom. Its calculated density is 5.4 g cm⁻³.

---

calculated density of number 3 (ZrZnFeO4)?
5.3 g cm⁻³

---

calculated density of number 4 (ZrFe3O)?
3.7 g cm⁻³